Entry 1:
First-principles (PBE) data for Mn4RePb after structural relaxation, as listed in the Alexandria database.

Properties
Its formation energy is 0.447 eV/atom. The value obtained for the uncorrected energy is -200.6 eV for the cell shown. The calculation puts the total moment at 5.573 μB/f.u. The value obtained for the density of states at the Fermi level is 7.6 states/eV/f.u.

a = 6.891 Å, b = 6.891 Å, c = 6.891 Å
α = 90.00°, β = 90.00°, γ = 90.00°
Space group F-43m (No. 216)
One atom of each set of equivalent atoms:
Mn (0.124, 0.124, 0.376) x16
Re (0.250, 0.250, 0.750) x4
Pb (0.000, 0.000, 0.000) x4

=====

Entry 2:
First-principles (PBE) data for Mn2RePb after structural relaxation, as listed in the Alexandria database.

Properties
Its formation energy is 0.554 eV/atom. The value obtained for the uncorrected energy is -64.6 eV for the cell shown. The calculation puts the total moment at 4.926 μB/f.u. The value obtained for the density of states at the Fermi level is 2.7 states/eV/f.u.

a = 8.897 Å, b = 3.024 Å, c = 4.962 Å
α = 90.00°, β = 99.95°, γ = 90.00°
Space group Cm (No. 8)
One atom of each set of equivalent atoms:
Mn (0.000, 0.000, 0.000) x2
Mn (0.247, 0.000, 0.774) x2
Re (0.234, 0.500, 0.175) x2
Pb (0.492, 0.000, 0.499) x2

=====

Entry 3:
First-principles (PBE) data for MnRe2Pb after structural relaxation, as listed in the Alexandria database.

Properties
Its formation energy is 0.723 eV/atom. The value obtained for the uncorrected energy is -104.6 eV for the cell shown. The calculation puts the total moment at 1.121 μB/f.u. The value obtained for the density of states at the Fermi level is 3.3 states/eV/f.u.

a = 2.9050 Å, b = 2.9050 Å, c = 27.7797 Å
α = 90.00°, β = 90.00°, γ = 120.00°
Space group R-3m (No. 166, hexagonal axes)
One atom of each set of equivalent atoms:
Mn (0.0000, 0.0000, 0.0000) x3
Re (0.0000, 0.0000, 0.2637) x6
Pb (0.0000, 0.0000, 0.5000) x3

=====

Entry 4:
First-principles (PBE) data for MnRe2RhPb after structural relaxation, as listed in the Alexandria database.

Properties
Its formation energy is 1.344 eV/atom. The value obtained for the uncorrected energy is -38.4 eV for the cell shown. The calculation puts the total moment at 0.880 μB/f.u. The value obtained for the density of states at the Fermi level is 7.0 states/eV/f.u.

a = 4.470 Å, b = 4.470 Å, c = 4.649 Å
α = 90.00°, β = 90.00°, γ = 90.00°
Space group P4/mmm (No. 123)
One atom of each set of equivalent atoms:
Mn (0.000, 0.000, 0.000) x1
Re (0.000, 0.500, 0.000) x2
Rh (0.000, 0.000, 0.500) x1
Pb (0.500, 0.500, 0.500) x1

=====

Entry 5:
First-principles (PBE) data for Mn2VRePb after structural relaxation, as listed in the Alexandria database.

Properties
Its formation energy is 1.039 eV/atom. The value obtained for the uncorrected energy is -38.4 eV for the cell shown. The calculation puts the total moment at 6.223 μB/f.u. The value obtained for the density of states at the Fermi level is 4.8 states/eV/f.u.

a = 4.807 Å, b = 4.807 Å, c = 4.564 Å
α = 90.00°, β = 90.00°, γ = 90.00°
Space group P4/mmm (No. 123)
One atom of each set of equivalent atoms:
Mn (0.000, 0.500, 0.000) x2
V (0.000, 0.000, 0.500) x1
Re (0.000, 0.000, 0.000) x1
Pb (0.500, 0.500, 0.500) x1

=====

Entry 6:
First-principles (PBE) data for MnRe2PbW after structural relaxation, as listed in the Alexandria database.

Properties
Its formation energy is 3.711 eV/atom. The value obtained for the uncorrected energy is -32.2 eV for the cell shown. The calculation puts the total moment at 0.620 μB/f.u. The value obtained for the density of states at the Fermi level is 7.7 states/eV/f.u.

a = 4.895 Å, b = 4.895 Å, c = 4.941 Å
α = 90.00°, β = 90.00°, γ = 90.00°
Space group P4/mmm (No. 123)
One atom of each set of equivalent atoms:
Mn (0.000, 0.000, 0.000) x1
Re (0.000, 0.500, 0.500) x2
Pb (0.500, 0.500, 0.500) x1
W (0.500, 0.500, 0.000) x1

=====

Entry 7:
First-principles (PBE) data for Mn2Rh2Pb after structural relaxation, as listed in the Alexandria database.

Properties
Its formation energy is 0.071 eV/atom. The value obtained for the uncorrected energy is -72.8 eV for the cell shown. The calculation puts the total moment at 7.954 μB/f.u. The value obtained for the density of states at the Fermi level is 3.1 states/eV/f.u.

a = 7.418 Å, b = 7.418 Å, c = 3.040 Å
α = 90.00°, β = 90.00°, γ = 90.00°
Space group P4/mbm (No. 127)
One atom of each set of equivalent atoms:
Mn (0.157, 0.343, 0.000) x4
Rh (0.136, 0.636, 0.500) x4
Pb (0.000, 0.000, 0.500) x2

=====

Entry 8:
First-principles (PBE) data for MnRh4Pb after structural relaxation, as listed in the Alexandria database.

Properties
Its formation energy is 0.188 eV/atom. The value obtained for the uncorrected energy is -164.6 eV for the cell shown. The calculation puts the total moment at 4.886 μB/f.u. The value obtained for the density of states at the Fermi level is 9.5 states/eV/f.u.

a = 7.389 Å, b = 7.389 Å, c = 7.389 Å
α = 90.00°, β = 90.00°, γ = 90.00°
Space group F-43m (No. 216)
One atom of each set of equivalent atoms:
Mn (0.000, 0.000, 0.000) x4
Rh (0.125, 0.125, 0.625) x16
Pb (0.250, 0.250, 0.250) x4